Here is a relaxed structure of Y2CrRh from Alexandria. Energies are from PBE.

a b c (Å): 3.9961 5.9094 5.9094
angles (deg): 40.97 90.00 90.00
Positions (direct):
Y  0.0000  0.0000  0.0000
Y  0.5000  0.2901  0.2901
Cr  0.0000  0.7079  0.7079
Rh  0.5000  0.5641  0.5641

Values from the calculation:
**Calculated volume**: 91 Å³ per cell
**Energy of formation from the pure elements**: -0.1993 eV per atom
**SG**: Amm2, No. 38